Record 1
The following is a PBE calculation of K6PH12 after structural relaxation, from Alexandria.

Structure (extended XYZ):
```
19
Lattice="5.8843 3.3973 3.3280 -5.8843 3.3973 3.3280 0.0000 -6.7946 3.3280" Properties=species:S:1:pos:R:3 pbc="T T T"
K -4.4155 -1.3614 5.0318
K -1.0287 -4.5046 4.9523
K -3.3868 3.1432 4.9523
K 3.3868 -3.1432 5.0318
K 1.0287 4.5046 5.0318
K 4.4155 1.3614 4.9523
P 0.0000 0.0000 4.9921
H -4.7682 1.0809 4.3735
H -3.3202 -3.5889 5.6106
H -0.9342 -0.8056 4.1297
H 1.4480 -4.6698 4.3735
H -0.2306 1.2118 4.1297
H 1.1647 -0.4062 4.1297
H -1.1647 0.4062 5.8544
H 0.2306 -1.2118 5.8544
H -1.4480 4.6698 5.6106
H 0.9342 0.8056 5.8544
H 3.3202 3.5889 4.3735
H 4.7682 -1.0809 5.6106
```

Values from the calculation:
Space group: R-3
Calculated total energy: -2.6972 eV per atom
Fermi-level density of states: 9.12 states/eV/f.u.

***

Record 2
The following is a PBE calculation of KPH6 after structural relaxation, from Alexandria.

Structure (extended XYZ):
```
8
Lattice="2.3952 1.3828 4.1902 -2.3952 1.3828 4.1902 0.0000 -2.7657 4.1902" Properties=species:S:1:pos:R:3 pbc="T T T"
K 0.0000 0.0000 0.0000
P 0.0000 0.0000 6.2852
H -1.0640 -0.6143 5.4247
H 0.0000 -1.2286 7.1458
H -1.0640 0.6143 7.1458
H 1.0640 -0.6143 5.4247
H 0.0000 1.2286 5.4247
H 1.0640 0.6143 7.1458
```

Values from the calculation:
Space group: R-3m
Calculated total energy: -3.3133 eV per atom

***

Record 3
The following is a PBE calculation of KPHPt2 after structural relaxation, from Alexandria.

Structure (extended XYZ):
```
5
Lattice="5.3511 0.0000 0.0000 0.0000 5.3511 0.0000 0.0000 0.0000 5.8888" Properties=species:S:1:pos:R:3 pbc="T T T"
K 0.0000 0.0000 0.0000
P 0.0000 0.0000 2.9444
H 2.6755 2.6755 2.9444
Pt 0.0000 2.6755 0.0000
Pt 2.6755 0.0000 0.0000
```

Values from the calculation:
Space group: P4/mmm
Calculated total energy: -1.8439 eV per atom
Fermi-level density of states: 2.07 states/eV/f.u.

***

Record 4
The following is a PBE calculation of KRbPH after structural relaxation, from Alexandria.

Structure (extended XYZ):
```
4
Lattice="4.7437 -2.7219 0.0000 4.7437 2.7219 0.0000 -0.0562 0.0000 4.6902" Properties=species:S:1:pos:R:3 pbc="T T T"
K 0.0000 0.0000 0.0000
Rb 6.3104 0.0000 2.4570
P 3.1563 0.0000 0.9434
H 3.1393 0.0000 2.3993
```

Values from the calculation:
Space group: Cm
Calculated total energy: -2.9752 eV per atom

***

Record 5
The following is a PBE calculation of K2RePH after structural relaxation, from Alexandria.

Structure (extended XYZ):
```
5
Lattice="4.6021 0.0000 0.0000 0.0000 4.6021 0.0000 0.0000 0.0000 4.7632" Properties=species:S:1:pos:R:3 pbc="T T T"
K 0.0000 2.3010 0.0000
K 2.3010 0.0000 0.0000
Re 0.0000 0.0000 2.3816
P 2.3010 2.3010 2.3816
H 0.0000 0.0000 0.0000
```

Values from the calculation:
Space group: P4/mmm
Calculated total energy: -3.6027 eV per atom
Fermi-level density of states: 3.43 states/eV/f.u.

***

Record 6
The following is a PBE calculation of KPH2Rh2 after structural relaxation, from Alexandria.

Structure (extended XYZ):
```
12
Lattice="6.4989 0.0000 0.0000 0.0000 5.4931 0.0000 -1.7975 0.0000 6.3722" Properties=species:S:1:pos:R:3 pbc="T T T"
K 0.7180 1.3733 1.9190
K 3.9833 4.1198 4.4532
P 2.2808 4.1198 0.6567
P 2.4206 1.3733 5.7155
H -0.3223 1.3733 4.6957
H 0.5337 4.1198 4.1046
H 4.1677 1.3733 2.2676
H 5.0237 4.1198 1.6765
Rh 0.6612 0.0000 5.2088
Rh 0.6612 2.7465 5.2088
Rh 4.0402 5.4930 1.1634
Rh 4.0402 2.7465 1.1634
```

Values from the calculation:
Space group: P2_1/m
Calculated total energy: -4.9127 eV per atom
Fermi-level density of states: 4.19 states/eV/f.u.

***

Record 7
The following is a PBE calculation of KP2HS after structural relaxation, from Alexandria.

Structure (extended XYZ):
```
5
Lattice="7.1531 0.0000 0.0000 0.0000 7.1531 0.0000 0.0000 0.0000 6.0978" Properties=species:S:1:pos:R:3 pbc="T T T"
K 0.0000 0.0000 0.0000
P 0.0000 3.5765 0.0000
P 3.5765 0.0000 0.0000
H 3.5765 3.5765 3.0489
S 0.0000 0.0000 3.0489
```

Values from the calculation:
Space group: P4/mmm
Calculated total energy: -2.0243 eV per atom
Fermi-level density of states: 7.03 states/eV/f.u.
Distance to the lowest polymorph of the same formula: 1.253 eV/atom

***

Record 8
The following is a PBE calculation of K3P2H6S after structural relaxation, from Alexandria.

Structure (extended XYZ):
```
12
Lattice="5.6190 0.0000 0.0000 -2.8095 4.8662 0.0000 0.0000 0.0000 6.9593" Properties=species:S:1:pos:R:3 pbc="T T T"
K 0.0000 0.0000 0.0000
K 0.0000 3.2441 4.3639
K 2.8095 1.6221 2.5954
P 0.0000 3.2441 0.7454
P 2.8095 1.6221 6.2139
H 0.0000 2.0455 1.6116
H -1.0380 3.8434 1.6116
H 1.7715 1.0228 5.3477
H 1.0380 3.8434 1.6116
H 3.8475 1.0228 5.3477
H 2.8095 2.8206 5.3477
S 0.0000 0.0000 3.4796
```

Values from the calculation:
Space group: P-3m1
Calculated total energy: -3.4290 eV per atom
Fermi-level density of states: 2.97 states/eV/f.u.

***

Record 9
The following is a PBE calculation of KPHS3 after structural relaxation, from Alexandria.

Structure (extended XYZ):
```
12
Lattice="6.1288 -3.5408 0.0000 6.1288 3.5408 0.0000 -1.9243 0.0000 6.4264" Properties=species:S:1:pos:R:3 pbc="T T T"
K 2.0920 0.0000 1.2688
K 8.2413 0.0000 5.1576
P 4.1692 0.0000 5.2889
P 6.1641 0.0000 1.1375
H 5.1666 1.6101 3.2132
H 5.1666 -1.6101 3.2132
S 5.0885 1.7046 1.5702
S 2.2850 0.0000 4.6527
S 5.2448 1.7046 4.8562
S 5.0885 -1.7046 1.5702
S 8.0483 0.0000 1.7737
S 5.2448 -1.7046 4.8562
```

Values from the calculation:
Space group: C2/m
Calculated total energy: -4.2813 eV per atom
Fermi-level density of states: 0.00 states/eV/f.u.

***

Record 10
The following is a PBE calculation of KP2HS after structural relaxation, from Alexandria.

Structure (extended XYZ):
```
5
Lattice="4.0976 0.0000 0.0000 0.0000 4.0976 0.0000 0.0000 0.0000 4.9723" Properties=species:S:1:pos:R:3 pbc="T T T"
K 0.0000 0.0000 0.0000
P 0.0000 2.0488 2.4862
P 2.0488 0.0000 2.4862
H 2.0488 2.0488 2.4862
S 2.0488 2.0488 0.0000
```

Values from the calculation:
Space group: P4/mmm
Calculated total energy: -3.2777 eV per atom
Fermi-level density of states: 2.79 states/eV/f.u.
Distance to the lowest polymorph of the same formula: 0.000 eV/atom

***

Record 11
The following is a PBE calculation of K2P2HS6 after structural relaxation, from Alexandria.

Structure (extended XYZ):
```
11
Lattice="3.4794 2.0089 7.8695 -3.4794 2.0089 7.8695 0.0000 -4.0177 7.8695" Properties=species:S:1:pos:R:3 pbc="T T T"
K 0.0000 0.0000 5.6277
K 0.0000 0.0000 17.9807
P 0.0000 0.0000 9.9064
P 0.0000 0.0000 13.7021
H 0.0000 0.0000 0.0000
S 0.0000 -1.9581 9.8616
S -1.6957 0.9790 9.8616
S -1.6957 -0.9790 13.7468
S 1.6957 0.9790 9.8616
S 1.6957 -0.9790 13.7468
S 0.0000 1.9581 13.7468
```

Values from the calculation:
Space group: R-3m
Calculated total energy: -4.0752 eV per atom

***

Record 12
The following is a PBE calculation of KPHSe2 after structural relaxation, from Alexandria.

Structure (extended XYZ):
```
5
Lattice="6.3538 0.0000 0.0000 0.0000 6.3538 0.0000 0.0000 0.0000 6.5553" Properties=species:S:1:pos:R:3 pbc="T T T"
K 0.0000 0.0000 0.0000
P 0.0000 0.0000 3.2776
H 3.1769 3.1769 3.2776
Se 0.0000 3.1769 0.0000
Se 3.1769 0.0000 0.0000
```

Values from the calculation:
Space group: P4/mmm
Calculated total energy: -1.8629 eV per atom
Fermi-level density of states: 7.23 states/eV/f.u.